(1)
A plane-wave DFT calculation with PBE was carried out for a relaxed structure of KLuTe3Pb.

Geometry as extended XYZ:
```
12
Lattice="-6.780 1.078 -4.139 -0.337 -4.329 -0.576 -4.295 -1.238 11.819" Properties=species:S:1:pos:R:3 pbc="T T T"
Te -4.469 -2.837 -1.046
Pb -7.498 -0.537 0.089
Pb -3.914 -3.952 7.016
Te -6.942 -1.652 8.150
Lu -2.094 -0.849 -0.722
Lu -9.318 -3.640 7.826
Te -7.628 -2.997 2.003
Te -10.229 -1.128 6.134
K -7.127 -1.196 4.829
K -4.285 -3.293 2.275
Te -3.784 -1.492 5.101
Te -1.183 -3.361 0.971
```

Results
Space group: P2_1/m (11)

(2)
A plane-wave DFT calculation with PBE was carried out for a relaxed structure of AgI.

Geometry as extended XYZ:
```
8
Lattice="-2.951 -6.129 2.843 1.713 2.228 6.815 -3.967 4.332 -4.455" Properties=species:S:1:pos:R:3 pbc="T T T"
I -1.676 1.548 5.468
I -0.379 -1.194 2.956
Ag -5.343 -1.835 -0.002
Ag -1.884 -0.937 0.804
Ag -4.486 -0.721 3.406
I -0.859 -2.707 6.703
Ag -3.359 -4.001 2.226
I -1.196 3.061 1.721
```

Results
Space group: I4_1/amd (141)

(3)
A plane-wave DFT calculation with PBE was carried out for a relaxed structure of Nb3GeS6.

Geometry as extended XYZ:
```
20
Lattice="5.810 0.000 0.000 -2.905 5.032 0.000 0.000 0.000 13.614" Properties=species:S:1:pos:R:3 pbc="T T T"
Nb 0.000 3.355 3.404
S 0.972 1.683 11.784
S 1.933 3.349 4.977
Nb 0.000 3.354 10.211
S 1.933 3.349 1.830
S 0.962 5.032 11.784
S 1.943 0.000 4.977
Ge 0.000 0.000 6.807
S 3.877 3.349 8.637
S -0.972 1.683 4.977
Ge 0.000 0.000 0.000
S 3.877 3.349 11.784
Nb 2.905 1.677 3.404
Nb 2.905 5.032 10.211
S -0.972 1.683 1.830
S 0.962 5.032 8.637
S 1.943 0.000 1.830
S 0.972 1.683 8.637
Nb 2.905 1.677 10.211
Nb 0.000 0.000 3.404
```

Results
Space group: P6_3/mcm (193)

(4)
A plane-wave DFT calculation with PBE was carried out for a relaxed structure of CoCuS4.

Geometry as extended XYZ:
```
6
Lattice="-0.338 3.487 2.945 -1.250 -2.195 2.455 5.277 -1.042 1.756" Properties=species:S:1:pos:R:3 pbc="T T T"
S 2.996 2.241 3.530
S 1.943 0.203 1.171
S -0.331 1.228 3.456
Co 0.000 0.000 0.000
Cu 1.844 0.125 3.578
S 4.020 -0.978 3.700
```

Results
Space group: P2/m (10)

no.,calculated volume (Å³ per cell),final energy (eV/atom),theoretical density (g cm⁻³)
1,433.92,-4.00,6.15
2,281.54,-2.32,5.54
3,397.98,-6.95,4.54
4,91.20,-4.76,4.57